Entry 1:
# Ta2CuHg (PBE, optimized geometry)
data_Ta2CuHg
_cell_length_a 5.7205
_cell_length_b 8.2531
_cell_length_c 2.9364
_cell_angle_alpha 90.00
_cell_angle_beta 90.00
_cell_angle_gamma 90.00
_space_group_name_H-M_alt 'C m m m'
_space_group_IT_number 65
_space_group_name_Hall '-C 2 2'
loop_
_atom_site_label
_atom_site_fract_x
_atom_site_fract_y
_atom_site_fract_z
Ta1 0.2500 0.2500 0.0000
Cu1 0.0000 0.0000 0.5000
Hg1 0.0000 0.5000 0.5000
# - Density of states at the Fermi level: 0.783 states/eV/atom
# - Calculated formation energy: 128 kJ/mol of formula units
# - Energy above the lowest structure with this stoichiometry: 161 meV/atom
# - Uncorrected energy: -6.694 eV per atom
# - Magnetization: 0.0 Bohr magnetons per cell
# - Crystal system: orthorhombic


Entry 2:
# Ta2CuHg (PBE, optimized geometry)
data_Ta2CuHg
_cell_length_a 6.5337
_cell_length_b 6.5337
_cell_length_c 6.5337
_cell_angle_alpha 90.00
_cell_angle_beta 90.00
_cell_angle_gamma 90.00
_space_group_name_H-M_alt 'F m -3 m'
_space_group_IT_number 225
_space_group_name_Hall '-F 4 2 3'
loop_
_atom_site_label
_atom_site_fract_x
_atom_site_fract_y
_atom_site_fract_z
Ta1 0.2500 0.2500 0.2500
Cu1 0.0000 0.0000 0.0000
Hg1 0.0000 0.0000 0.5000
# - Density of states at the Fermi level: 1.341 states/eV/atom
# - Calculated formation energy: 200 kJ/mol of formula units
# - Energy above the lowest structure with this stoichiometry: 349 meV/atom
# - Uncorrected energy: -6.506 eV per atom
# - Magnetization: 0.0 Bohr magnetons per cell
# - Crystal system: cubic


Entry 3:
# Ta2CuHg (PBE, optimized geometry)
data_Ta2CuHg
_cell_length_a 3.0266
_cell_length_b 3.7964
_cell_length_c 6.1274
_cell_angle_alpha 90.00
_cell_angle_beta 90.00
_cell_angle_gamma 90.00
_space_group_name_H-M_alt 'P m m 2'
_space_group_IT_number 25
loop_
_space_group_symop_operation_xyz
'x,y,z'
'-x,-y,z'
'-x,y,z'
'x,-y,z'
loop_
_atom_site_label
_atom_site_fract_x
_atom_site_fract_y
_atom_site_fract_z
Ta1 0.0000 0.0000 0.0000
Ta2 0.5000 0.5000 0.2411
Cu1 0.0000 0.0000 0.4775
Hg1 0.5000 0.5000 0.7149
# - Density of states at the Fermi level: 0.578 states/eV/atom
# - Calculated formation energy: 97 kJ/mol of formula units
# - Energy above the lowest structure with this stoichiometry: 80 meV/atom
# - Uncorrected energy: -6.775 eV per atom
# - Magnetization: 0.0 Bohr magnetons per cell
# - Crystal system: orthorhombic


Entry 4:
# Ta2CuHg (PBE, optimized geometry)
data_Ta2CuHg
_cell_length_a 4.0650
_cell_length_b 4.0650
_cell_length_c 4.1692
_cell_angle_alpha 90.00
_cell_angle_beta 90.00
_cell_angle_gamma 90.00
_space_group_name_H-M_alt 'P 4/m m m'
_space_group_IT_number 123
_space_group_name_Hall '-P 4 2'
loop_
_atom_site_label
_atom_site_fract_x
_atom_site_fract_y
_atom_site_fract_z
Ta1 0.0000 0.5000 0.0000
Cu1 0.0000 0.0000 0.5000
Hg1 0.5000 0.5000 0.5000
# - Density of states at the Fermi level: 1.030 states/eV/atom
# - Calculated formation energy: 112 kJ/mol of formula units
# - Energy above the lowest structure with this stoichiometry: 120 meV/atom
# - Uncorrected energy: -6.735 eV per atom
# - Magnetization: 0.0 Bohr magnetons per cell
# - Crystal system: tetragonal


Entry 5:
# TaCuHg4 (PBE, optimized geometry)
data_TaCuHg4
_cell_length_a 8.0485
_cell_length_b 8.0485
_cell_length_c 8.0485
_cell_angle_alpha 90.00
_cell_angle_beta 90.00
_cell_angle_gamma 90.00
_space_group_name_H-M_alt 'F -4 3 m'
_space_group_IT_number 216
_space_group_name_Hall 'F -4 2 3'
loop_
_atom_site_label
_atom_site_fract_x
_atom_site_fract_y
_atom_site_fract_z
Ta1 0.0000 0.0000 0.0000
Cu1 0.2500 0.2500 0.7500
Hg1 0.1251 0.1251 0.3749
# - Density of states at the Fermi level: 0.947 states/eV/atom
# - Calculated formation energy: 536 kJ/mol of formula units
# - Uncorrected energy: -1.933 eV per atom
# - Magnetization: 6.5 Bohr magnetons per cell
# - Crystal system: cubic


Entry 6:
# Ta2CuHg (PBE, optimized geometry)
data_Ta2CuHg
_cell_length_a 4.0161
_cell_length_b 4.0161
_cell_length_c 8.6659
_cell_angle_alpha 90.00
_cell_angle_beta 90.00
_cell_angle_gamma 90.00
_space_group_name_H-M_alt 'I -4 m 2'
_space_group_IT_number 119
_space_group_name_Hall 'I -4 -2'
loop_
_atom_site_label
_atom_site_fract_x
_atom_site_fract_y
_atom_site_fract_z
Ta1 0.0000 0.0000 0.0000
Ta2 0.0000 0.5000 0.2500
Cu1 0.0000 0.5000 0.7500
Hg1 0.0000 0.0000 0.5000
# - Density of states at the Fermi level: 1.279 states/eV/atom
# - Calculated formation energy: 163 kJ/mol of formula units
# - Energy above the lowest structure with this stoichiometry: 251 meV/atom
# - Uncorrected energy: -6.604 eV per atom
# - Magnetization: 0.0 Bohr magnetons per cell
# - Crystal system: tetragonal


Entry 7:
# Ta2CuHg (PBE, optimized geometry)
data_Ta2CuHg
_cell_length_a 3.6442
_cell_length_b 4.3982
_cell_length_c 8.7817
_cell_angle_alpha 90.00
_cell_angle_beta 90.00
_cell_angle_gamma 90.00
_space_group_name_H-M_alt 'C m m 2'
_space_group_IT_number 35
loop_
_space_group_symop_operation_xyz
'x,y,z'
'-x,-y,z'
'-x,y,z'
'x,-y,z'
'x+1/2,y+1/2,z'
'-x+1/2,-y+1/2,z'
'-x+1/2,y+1/2,z'
'x+1/2,-y+1/2,z'
loop_
_atom_site_label
_atom_site_fract_x
_atom_site_fract_y
_atom_site_fract_z
Ta1 0.0000 0.0000 0.0000
Ta2 0.0000 0.5000 0.2550
Cu1 0.0000 0.0000 0.4813
Hg1 0.0000 0.5000 0.7231
# - Density of states at the Fermi level: 0.679 states/eV/atom
# - Calculated formation energy: 66 kJ/mol of formula units
# - Energy above the lowest structure with this stoichiometry: 0 meV/atom
# - Uncorrected energy: -6.855 eV per atom
# - Magnetization: 0.0 Bohr magnetons per cell
# - Crystal system: orthorhombic


Entry 8:
# Ta2Cu2Hg (PBE, optimized geometry)
data_Ta2Cu2Hg
_cell_length_a 7.1242
_cell_length_b 7.1242
_cell_length_c 3.1834
_cell_angle_alpha 90.00
_cell_angle_beta 90.00
_cell_angle_gamma 90.00
_space_group_name_H-M_alt 'P 4/m b m'
_space_group_IT_number 127
_space_group_name_Hall '-P 4 2ab'
loop_
_atom_site_label
_atom_site_fract_x
_atom_site_fract_y
_atom_site_fract_z
Ta1 0.1692 0.3308 0.0000
Cu1 0.1242 0.6242 0.5000
Hg1 0.0000 0.0000 0.5000
# - Density of states at the Fermi level: 0.074 states/eV/atom
# - Calculated formation energy: 135 kJ/mol of formula units
# - Uncorrected energy: -6.160 eV per atom
# - Magnetization: 0.0 Bohr magnetons per cell
# - Crystal system: tetragonal